# 1
! GGA-PBE CaCr2Ru, relaxed; values from VASP
! Energy above the lowest structure with this stoichiometry: 437 meV per atom
&SYSTEM
  ibrav = 0, nat = 4, ntyp = 3
/
ATOMIC_SPECIES
Ca 40.08 Ca.upf
Cr 52.00 Cr.upf
Ru 101.07 Ru.upf
ATOMIC_POSITIONS crystal
Ca 0.0000 0.0000 0.0000
Cr 0.0000 0.5000 0.5000
Cr 0.5000 0.0000 0.5000
Ru 0.5000 0.5000 0.0000
CELL_PARAMETERS angstrom
2.6395 -4.5076 0.0000
2.6395 4.5076 0.0000
-0.7798 0.0000 2.5198

# 2
! GGA-PBE MnOsAu2, relaxed; values from VASP
! Energy above the lowest structure with this stoichiometry: 190 meV per atom
&SYSTEM
  ibrav = 0, nat = 4, ntyp = 3
/
ATOMIC_SPECIES
Mn 54.94 Mn.upf
Os 190.23 Os.upf
Au 196.97 Au.upf
ATOMIC_POSITIONS crystal
Mn 0.0000 0.0000 0.0000
Os 0.5000 0.5000 0.5000
Au 0.2483 0.2483 0.7497
Au 0.7517 0.7517 0.2503
CELL_PARAMETERS angstrom
4.7297 -1.4145 0.0000
4.7297 1.4145 0.0000
-0.8623 0.0000 4.7916

# 3
! GGA-PBE Li2BeAg, relaxed; values from VASP
! Final energy: -10.0 eV per cell
&SYSTEM
  ibrav = 0, nat = 4, ntyp = 3
/
ATOMIC_SPECIES
Li 6.94 Li.upf
Be 9.01 Be.upf
Ag 107.87 Ag.upf
ATOMIC_POSITIONS crystal
Li 0.2399 0.0000 0.2571
Li 0.7601 0.0000 0.7429
Be 0.0000 0.5000 0.5000
Ag 0.5000 0.5000 0.0000
CELL_PARAMETERS angstrom
2.7687 0.0000 0.0000
0.0000 4.4661 0.0000
-0.6505 0.0000 4.5043

# 4
! GGA-PBE LaBrCl, relaxed; values from VASP
! Final energy: -14.2 eV per cell
&SYSTEM
  ibrav = 0, nat = 3, ntyp = 3
/
ATOMIC_SPECIES
La 138.91 La.upf
Br 79.90 Br.upf
Cl 35.45 Cl.upf
ATOMIC_POSITIONS crystal
La 0.0000 0.0000 0.0000
Br 0.6272 0.6272 0.0000
Cl 0.3883 0.3883 0.0000
CELL_PARAMETERS angstrom
-1.8346 1.8346 7.0421
1.8346 -1.8346 7.0421
1.8346 1.8346 -7.0421

# 5
! GGA-PBE Ta5Be2Si, relaxed; values from VASP
! Final energy: -149.9 eV per cell
&SYSTEM
  ibrav = 0, nat = 16, ntyp = 3
/
ATOMIC_SPECIES
Ta 180.95 Ta.upf
Be 9.01 Be.upf
Si 28.09 Si.upf
ATOMIC_POSITIONS crystal
Ta 0.0000 0.0000 0.0000
Ta 0.0244 0.5244 0.8368
Ta 0.1875 0.0244 0.5000
Ta 0.3125 0.8125 0.8368
Ta 0.4756 0.3125 0.5000
Ta 0.5000 0.5000 0.0000
Ta 0.5244 0.6875 0.5000
Ta 0.6875 0.1875 0.1632
Ta 0.8125 0.9756 0.5000
Ta 0.9756 0.4756 0.1632
Be 0.1216 0.3784 0.5000
Be 0.3784 0.8784 0.2568
Be 0.6216 0.1216 0.7432
Be 0.8784 0.6216 0.5000
Si 0.2500 0.2500 0.0000
Si 0.7500 0.7500 0.0000
CELL_PARAMETERS angstrom
-3.2112 3.2112 5.8316
3.2112 -3.2112 5.8316
3.2112 3.2112 -5.8316

# 6
! GGA-PBE Pm4DyTl4, relaxed; values from VASP
! Final energy: -69.6 eV per cell
&SYSTEM
  ibrav = 0, nat = 18, ntyp = 3
/
ATOMIC_SPECIES
Pm 145.00 Pm.upf
Dy 162.50 Dy.upf
Tl 204.38 Tl.upf
ATOMIC_POSITIONS crystal
Pm 0.0818 0.8247 0.1207
Pm 0.1753 0.5818 0.6207
Pm 0.3247 0.9182 0.6207
Pm 0.4182 0.6753 0.1207
Pm 0.5818 0.3247 0.8793
Pm 0.6753 0.0818 0.3793
Pm 0.8247 0.4182 0.3793
Pm 0.9182 0.1753 0.8793
Dy 0.2500 0.2500 0.7500
Dy 0.7500 0.7500 0.2500
Tl 0.0447 0.1501 0.3698
Tl 0.1501 0.4553 0.1302
Tl 0.3499 0.0447 0.1302
Tl 0.4553 0.3499 0.3698
Tl 0.5447 0.6501 0.6302
Tl 0.6501 0.9553 0.8698
Tl 0.8499 0.5447 0.8698
Tl 0.9553 0.8499 0.6302
CELL_PARAMETERS angstrom
9.3544 0.0000 0.0000
0.0000 9.3544 0.0000
0.0000 0.0000 6.2163